## a
# PBE-GGA Li5Mg2In2, relaxed
data_Li5Mg2In2
_chemical_formula_sum 'Li5 Mg2 In2'
_space_group_name_H-M_alt 'P 1'
_space_group_IT_number 1
_cell_length_a 4.573
_cell_length_b 6.605
_cell_length_c 6.714
_cell_angle_alpha 107.02
_cell_angle_beta 109.91
_cell_angle_gamma 90.00
loop_
_space_group_symop_operation_xyz
'x,y,z'
loop_
_atom_site_label
_atom_site_fract_x
_atom_site_fract_y
_atom_site_fract_z
Li1 0.557 0.337 0.115
Li2 0.443 0.663 0.885
Li3 0.884 0.316 0.768
Li4 0.116 0.684 0.232
Li5 0.000 0.000 0.000
Mg1 0.783 0.676 0.566
Mg2 0.217 0.324 0.434
In1 0.654 0.990 0.308
In2 0.346 0.010 0.692
# V   181.2 Å³ per cell
# Spin magnetization   0.000 μB/f.u.
# ρ   2.9 g/cm3



## b
# PBE-GGA Li5Mg2In2, relaxed
data_Li5Mg2In2
_chemical_formula_sum 'Li10 Mg4 In4'
_space_group_name_H-M_alt 'P 1'
_space_group_IT_number 1
_cell_length_a 6.368
_cell_length_b 8.191
_cell_length_c 8.356
_cell_angle_alpha 119.35
_cell_angle_beta 90.00
_cell_angle_gamma 90.00
loop_
_space_group_symop_operation_xyz
'x,y,z'
loop_
_atom_site_label
_atom_site_fract_x
_atom_site_fract_y
_atom_site_fract_z
Li1 0.000 0.000 0.000
Li2 0.500 0.500 0.000
Li3 0.864 0.834 0.315
Li4 0.136 0.481 0.315
Li5 0.364 0.981 0.315
Li6 0.636 0.334 0.315
Li7 0.136 0.166 0.685
Li8 0.864 0.519 0.685
Li9 0.636 0.019 0.685
Li10 0.364 0.666 0.685
Mg1 0.632 0.834 0.000
Mg2 0.368 0.166 0.000
Mg3 0.132 0.666 0.000
Mg4 0.868 0.334 0.000
In1 0.000 0.187 0.374
In2 0.500 0.687 0.374
In3 0.000 0.813 0.626
In4 0.500 0.313 0.626
# V   379.9 Å³ per cell
# Spin magnetization   0.000 μB/f.u.
# ρ   2.7 g/cm3



Name the most stable of them. a.



## a
# PBE-GGA LiMgIn2Ni, relaxed
data_LiMgIn2Ni
_chemical_formula_sum 'Li1 Mg1 In2 Ni1'
_space_group_name_H-M_alt 'P 1'
_space_group_IT_number 1
_cell_length_a 4.910
_cell_length_b 4.910
_cell_length_c 4.684
_cell_angle_alpha 90.00
_cell_angle_beta 90.00
_cell_angle_gamma 90.00
loop_
_space_group_symop_operation_xyz
'x,y,z'
loop_
_atom_site_label
_atom_site_fract_x
_atom_site_fract_y
_atom_site_fract_z
Ni1 0.000 0.000 0.000
Mg1 0.500 0.500 0.500
Li1 0.000 0.000 0.500
In1 0.000 0.500 0.000
In2 0.500 0.000 0.000
# V   112.9 Å³ per cell
# Spin magnetization   0.000 μB/f.u.
# ρ   4.7 g/cm3



## b
# PBE-GGA LiMgIn2Ni, relaxed
data_LiMgIn2Ni
_chemical_formula_sum 'Li1 Mg1 In2 Ni1'
_space_group_name_H-M_alt 'P 1'
_space_group_IT_number 1
_cell_length_a 4.906
_cell_length_b 4.906
_cell_length_c 4.874
_cell_angle_alpha 90.00
_cell_angle_beta 90.00
_cell_angle_gamma 90.00
loop_
_space_group_symop_operation_xyz
'x,y,z'
loop_
_atom_site_label
_atom_site_fract_x
_atom_site_fract_y
_atom_site_fract_z
Ni1 0.000 0.000 0.000
Mg1 0.000 0.000 0.500
Li1 0.500 0.500 0.500
In1 0.000 0.500 0.000
In2 0.500 0.000 0.000
# V   117.3 Å³ per cell
# Spin magnetization   0.000 μB/f.u.
# ρ   4.5 g/cm3



Name the most stable of them. b.



## a
# PBE-GGA LiMn3In, relaxed
data_LiMn3In
_chemical_formula_sum 'Li1 Mn3 In1'
_space_group_name_H-M_alt 'P 1'
_space_group_IT_number 1
_cell_length_a 4.297
_cell_length_b 4.297
_cell_length_c 4.297
_cell_angle_alpha 90.00
_cell_angle_beta 90.00
_cell_angle_gamma 90.00
loop_
_space_group_symop_operation_xyz
'x,y,z'
loop_
_atom_site_label
_atom_site_fract_x
_atom_site_fract_y
_atom_site_fract_z
Mn1 0.000 0.500 0.000
Mn2 0.000 0.000 0.500
Mn3 0.500 0.000 0.000
Li1 0.000 0.000 0.000
In1 0.500 0.500 0.500
# V   79.3 Å³ per cell
# Spin magnetization   9.371 μB/f.u.
# ρ   6.0 g/cm3



## b
# PBE-GGA LiMn3In, relaxed
data_LiMn3In
_chemical_formula_sum 'Li1 Mn3 In1'
_space_group_name_H-M_alt 'P 1'
_space_group_IT_number 1
_cell_length_a 5.131
_cell_length_b 5.131
_cell_length_c 5.131
_cell_angle_alpha 90.00
_cell_angle_beta 90.00
_cell_angle_gamma 90.00
loop_
_space_group_symop_operation_xyz
'x,y,z'
loop_
_atom_site_label
_atom_site_fract_x
_atom_site_fract_y
_atom_site_fract_z
Mn1 0.000 0.500 0.000
Mn2 0.000 0.000 0.500
Mn3 0.500 0.000 0.000
Li1 0.500 0.500 0.500
In1 0.000 0.000 0.000
# V   135.1 Å³ per cell
# Spin magnetization   12.678 μB/f.u.
# ρ   3.5 g/cm3



Name the most stable of them. a.



## a
# PBE-GGA Li2MnInN, relaxed
data_Li2MnInN
_chemical_formula_sum 'Li2 Mn1 In1 N1'
_space_group_name_H-M_alt 'P 1'
_space_group_IT_number 1
_cell_length_a 4.846
_cell_length_b 4.860
_cell_length_c 4.846
_cell_angle_alpha 90.00
_cell_angle_beta 90.00
_cell_angle_gamma 90.00
loop_
_space_group_symop_operation_xyz
'x,y,z'
loop_
_atom_site_label
_atom_site_fract_x
_atom_site_fract_y
_atom_site_fract_z
N1 0.500 0.500 0.500
Mn1 0.000 0.500 0.000
Li1 0.000 0.000 0.500
Li2 0.500 0.000 0.000
In1 0.000 0.000 0.000
# V   114.1 Å³ per cell
# Spin magnetization   0.212 μB/f.u.
# ρ   2.9 g/cm3



## b
# PBE-GGA Li2MnInN, relaxed
data_Li2MnInN
_chemical_formula_sum 'Li2 Mn1 In1 N1'
_space_group_name_H-M_alt 'P 1'
_space_group_IT_number 1
_cell_length_a 4.258
_cell_length_b 4.258
_cell_length_c 3.650
_cell_angle_alpha 90.00
_cell_angle_beta 90.00
_cell_angle_gamma 90.00
loop_
_space_group_symop_operation_xyz
'x,y,z'
loop_
_atom_site_label
_atom_site_fract_x
_atom_site_fract_y
_atom_site_fract_z
N1 0.000 0.000 0.000
Mn1 0.000 0.000 0.500
Li1 0.000 0.500 0.000
Li2 0.500 0.000 0.000
In1 0.500 0.500 0.500
# V   66.2 Å³ per cell
# Spin magnetization   1.954 μB/f.u.
# ρ   5.0 g/cm3



Name the most stable of them. b.



## a
# PBE-GGA LiInMo, relaxed
data_LiInMo
_chemical_formula_sum 'Li1 In1 Mo1'
_space_group_name_H-M_alt 'P 1'
_space_group_IT_number 1
_cell_length_a 7.066
_cell_length_b 7.066
_cell_length_c 7.066
_cell_angle_alpha 157.17
_cell_angle_beta 157.17
_cell_angle_gamma 32.51
loop_
_space_group_symop_operation_xyz
'x,y,z'
loop_
_atom_site_label
_atom_site_fract_x
_atom_site_fract_y
_atom_site_fract_z
In1 0.000 0.000 0.000
Li1 0.333 0.333 0.000
Mo1 0.668 0.668 0.000
# V   53.1 Å³ per cell
# Spin magnetization   0.000 μB/f.u.
# ρ   6.8 g/cm3



## b
# PBE-GGA LiInMo, relaxed
data_LiInMo
_chemical_formula_sum 'Li1 In1 Mo1'
_space_group_name_H-M_alt 'P 1'
_space_group_IT_number 1
_cell_length_a 4.264
_cell_length_b 4.264
_cell_length_c 4.264
_cell_angle_alpha 60.00
_cell_angle_beta 60.00
_cell_angle_gamma 60.00
loop_
_space_group_symop_operation_xyz
'x,y,z'
loop_
_atom_site_label
_atom_site_fract_x
_atom_site_fract_y
_atom_site_fract_z
In1 0.500 0.500 0.500
Li1 0.750 0.750 0.750
Mo1 0.000 0.000 0.000
# V   54.8 Å³ per cell
# Spin magnetization   1.990 μB/f.u.
# ρ   6.6 g/cm3



## c
# PBE-GGA LiInMo, relaxed
data_LiInMo
_chemical_formula_sum 'Li1 In1 Mo1'
_space_group_name_H-M_alt 'P 1'
_space_group_IT_number 1
_cell_length_a 5.354
_cell_length_b 5.354
_cell_length_c 5.354
_cell_angle_alpha 149.67
_cell_angle_beta 139.34
_cell_angle_gamma 51.56
loop_
_space_group_symop_operation_xyz
'x,y,z'
loop_
_atom_site_label
_atom_site_fract_x
_atom_site_fract_y
_atom_site_fract_z
In1 0.012 0.012 0.000
Li1 0.662 0.662 0.000
Mo1 0.327 0.327 0.000
# V   50.2 Å³ per cell
# Spin magnetization   0.000 μB/f.u.
# ρ   7.2 g/cm3



Name the most stable of them. a.



## a
# PBE-GGA LiInMo, relaxed
data_LiInMo
_chemical_formula_sum 'Li1 In1 Mo1'
_space_group_name_H-M_alt 'P 1'
_space_group_IT_number 1
_cell_length_a 7.250
_cell_length_b 7.144
_cell_length_c 2.795
_cell_angle_alpha 80.93
_cell_angle_beta 76.68
_cell_angle_gamma 22.38
loop_
_space_group_symop_operation_xyz
'x,y,z'
loop_
_atom_site_label
_atom_site_fract_x
_atom_site_fract_y
_atom_site_fract_z
In1 0.001 0.001 0.999
Li1 0.668 0.668 0.332
Mo1 0.331 0.331 0.669
# V   53.0 Å³ per cell
# Spin magnetization   0.000 μB/f.u.
# ρ   6.8 g/cm3



## b
# PBE-GGA LiInMo, relaxed
data_LiInMo
_chemical_formula_sum 'Li1 In1 Mo1'
_space_group_name_H-M_alt 'P 1'
_space_group_IT_number 1
_cell_length_a 4.577
_cell_length_b 4.577
_cell_length_c 2.849
_cell_angle_alpha 90.00
_cell_angle_beta 90.00
_cell_angle_gamma 120.00
loop_
_space_group_symop_operation_xyz
'x,y,z'
loop_
_atom_site_label
_atom_site_fract_x
_atom_site_fract_y
_atom_site_fract_z
In1 0.000 0.000 0.169
Li1 0.667 0.333 0.164
Mo1 0.333 0.667 0.667
# V   51.7 Å³ per cell
# Spin magnetization   1.238 μB/f.u.
# ρ   7.0 g/cm3



Name the most stable of them. a.



## a
# PBE-GGA LiInN, relaxed
data_LiInN
_chemical_formula_sum 'Li1 In1 N1'
_space_group_name_H-M_alt 'P 1'
_space_group_IT_number 1
_cell_length_a 3.666
_cell_length_b 3.666
_cell_length_c 4.194
_cell_angle_alpha 90.00
_cell_angle_beta 90.00
_cell_angle_gamma 120.00
loop_
_space_group_symop_operation_xyz
'x,y,z'
loop_
_atom_site_label
_atom_site_fract_x
_atom_site_fract_y
_atom_site_fract_z
N1 0.667 0.333 0.500
Li1 0.000 0.000 0.500
In1 0.667 0.333 0.000
# V   48.8 Å³ per cell
# Spin magnetization   0.000 μB/f.u.
# ρ   4.6 g/cm3



## b
# PBE-GGA LiInN, relaxed
data_LiInN
_chemical_formula_sum 'Li4 In4 N4'
_space_group_name_H-M_alt 'P 1'
_space_group_IT_number 1
_cell_length_a 3.363
_cell_length_b 5.662
_cell_length_c 8.667
_cell_angle_alpha 90.00
_cell_angle_beta 90.00
_cell_angle_gamma 90.00
loop_
_space_group_symop_operation_xyz
'x,y,z'
loop_
_atom_site_label
_atom_site_fract_x
_atom_site_fract_y
_atom_site_fract_z
In1 0.750 0.119 0.362
In2 0.750 0.381 0.862
In3 0.250 0.619 0.138
In4 0.250 0.881 0.638
N1 0.250 0.117 0.841
N2 0.250 0.383 0.341
N3 0.750 0.617 0.659
N4 0.750 0.883 0.159
Li1 0.250 0.096 0.088
Li2 0.250 0.404 0.588
Li3 0.750 0.596 0.412
Li4 0.750 0.904 0.912
# V   165.0 Å³ per cell
# Spin magnetization   0.000 μB/f.u.
# ρ   5.5 g/cm3



Name the most stable of them. b.



## a
# PBE-GGA LiIn3N, relaxed
data_LiIn3N
_chemical_formula_sum 'Li1 In3 N1'
_space_group_name_H-M_alt 'P 1'
_space_group_IT_number 1
_cell_length_a 4.794
_cell_length_b 4.794
_cell_length_c 4.794
_cell_angle_alpha 90.00
_cell_angle_beta 90.00
_cell_angle_gamma 90.00
loop_
_space_group_symop_operation_xyz
'x,y,z'
loop_
_atom_site_label
_atom_site_fract_x
_atom_site_fract_y
_atom_site_fract_z
N1 0.000 0.000 0.000
Li1 0.500 0.500 0.500
In1 0.000 0.500 0.000
In2 0.000 0.000 0.500
In3 0.500 0.000 0.000
# V   110.2 Å³ per cell
# Spin magnetization   0.000 μB/f.u.
# ρ   5.5 g/cm3



## b
# PBE-GGA LiIn3N, relaxed
data_LiIn3N
_chemical_formula_sum 'Li1 In3 N1'
_space_group_name_H-M_alt 'P 1'
_space_group_IT_number 1
_cell_length_a 4.951
_cell_length_b 4.951
_cell_length_c 4.951
_cell_angle_alpha 90.00
_cell_angle_beta 90.00
_cell_angle_gamma 90.00
loop_
_space_group_symop_operation_xyz
'x,y,z'
loop_
_atom_site_label
_atom_site_fract_x
_atom_site_fract_y
_atom_site_fract_z
N1 0.500 0.500 0.500
Li1 0.000 0.000 0.000
In1 0.000 0.500 0.000
In2 0.000 0.000 0.500
In3 0.500 0.000 0.000
# V   121.3 Å³ per cell
# Spin magnetization   1.458 μB/f.u.
# ρ   5.0 g/cm3



Name the most stable of them. a.